[1]
Entry from Alexandria via LeMat-Bulk: a relaxed PmNiB crystal (PBE).

extended XYZ file:
```
3
Lattice="-2.324 -3.290 -0.961 2.834 -2.185 0.624 -2.286 0.826 2.700" Properties=species:S:1:pos:R:3 pbc="T T T"
Ni -0.387 -0.548 -0.160
B 0.740 -1.730 1.156
Pm -2.128 -2.371 1.367
```

Summary:
formation energy from the elements	-74	kJ/mol of formula units
magnetic moment	0.000	μB/f.u.
DFT total energy	-18.0	eV per formula unit
energy relative to the lowest polymorph listed for this composition	99	meV/atom

---

[2]
Entry from Alexandria via LeMat-Bulk: a relaxed LaTbSmTl crystal (PBE).

extended XYZ file:
```
4
Lattice="5.544 0.000 0.000 0.000 5.544 0.000 -2.772 -2.772 3.922" Properties=species:S:1:pos:R:3 pbc="T T T"
La 2.772 0.000 1.961
Tb 0.000 0.000 0.000
Sm 2.772 2.772 0.000
Tl 0.000 2.772 1.961
```

Summary:
formation energy from the elements	-11	kJ/mol of formula units
magnetic moment	0.001	μB/f.u.
DFT total energy	-16.8	eV per formula unit
energy relative to the lowest polymorph listed for this composition	49	meV/atom

---

[3]
Entry from Alexandria via LeMat-Bulk: a relaxed ErPuGa2 crystal (PBE).

extended XYZ file:
```
4
Lattice="3.260 0.000 0.000 0.000 3.260 0.000 0.000 0.000 8.330" Properties=species:S:1:pos:R:3 pbc="T T T"
Er 1.630 1.630 4.165
Ga 0.000 0.000 6.212
Ga 0.000 0.000 2.118
Pu 1.630 1.630 0.000
```

Summary:
formation energy from the elements	-158	kJ/mol of formula units
magnetic moment	5.346	μB/f.u.
DFT total energy	-26.6	eV per formula unit
energy relative to the lowest polymorph listed for this composition	10	meV/atom

---

[4]
Entry from Alexandria via LeMat-Bulk: a relaxed Mn2Ga2Ni crystal (PBE).

extended XYZ file:
```
10
Lattice="6.256 0.000 0.000 0.000 6.256 0.000 0.000 0.000 3.610" Properties=species:S:1:pos:R:3 pbc="T T T"
Ni 0.000 0.000 0.000
Ni 3.128 3.128 0.000
Mn 1.011 4.139 1.805
Mn 4.139 5.245 1.805
Mn 5.245 2.117 1.805
Mn 2.117 1.011 1.805
Ga 2.233 5.361 0.000
Ga 5.361 4.022 0.000
Ga 4.022 0.894 0.000
Ga 0.894 2.233 0.000
```

Summary:
formation energy from the elements	-14	kJ/mol of formula units
magnetic moment	6.694	μB/f.u.
DFT total energy	-30.3	eV per formula unit

---

Question: Which value of magnetic moment does entry 4 give?
Answer: 6.694 μB/f.u.